Record 1
# ZnFePd2

ZnFePd2 after structural relaxation (PBE, Alexandria).

Energy of formation, eV per atom: -0.297
Magnetization, μB/f.u.: 3.45

Lattice parameters (Å, degrees): 2.822 2.822 7.132 90.00 90.00 90.00
Site moments in Bohr magnetons follow the coordinates.
Positions (direct):
Pd 0.000 0.000 0.250  0.19
Fe 0.500 0.500 0.000  3.09
Zn 0.500 0.500 0.500  -0.01
Pd 0.000 0.000 0.750  0.19

Record 2
# MgTc2Os

MgTc2Os after structural relaxation (PBE, Alexandria).

Energy of formation, eV per atom: 0.325
Magnetization, μB/f.u.: 0.00

Lattice parameters (Å, degrees): 2.788 4.819 5.239 58.59 90.00 90.00
Positions (direct):
Mg 0.500 0.500 0.500
Os 0.000 0.000 0.500
Tc 0.500 0.500 0.000
Tc 0.000 0.000 0.000

Record 3
# ThZnAu

ThZnAu after structural relaxation (PBE, Alexandria).

Energy of formation, eV per atom: -0.051
Magnetization, μB/f.u.: 0.00

Lattice parameters (Å, degrees): 4.843 3.256 4.843 90.00 67.35 90.00
Positions (direct):
Au 0.469 0.000 0.469
Th 0.126 0.500 0.126
Zn 0.764 0.500 0.764

Record 4
# CaAuCl4

CaAuCl4 after structural relaxation (PBE, Alexandria).

Magnetization, μB/f.u.: 2.10
Raw formation energy, eV/atom: -0.154

Lattice parameters (Å, degrees): 5.923 5.923 5.923 60.00 60.00 60.00
Site moments in Bohr magnetons follow the coordinates.
Positions (direct):
Ca 0.000 0.000 0.000  0.01
Cl 0.375 0.874 0.375  0.40
Cl 0.874 0.375 0.375  0.40
Cl 0.375 0.375 0.874  0.40
Cl 0.375 0.375 0.375  0.40
Au 0.750 0.750 0.750  0.09

Record 5
# TbBe5Fe7

TbBe5Fe7 after structural relaxation (PBE, Alexandria).

Energy of formation, eV per atom: -0.126
Magnetization, μB/f.u.: 13.20

Lattice parameters (Å, degrees): 4.513 6.084 6.084 81.52 68.23 68.23
Site moments in Bohr magnetons follow the coordinates.
Positions (direct):
Fe 0.000 0.643 0.357  2.14
Be 0.498 0.505 0.999  -0.08
Tb 0.002 0.998 0.998  -0.17
Fe 0.000 0.357 0.643  2.14
Be 0.734 0.766 0.766  -0.06
Fe 0.498 0.225 0.780  1.82
Fe 0.498 0.780 0.225  1.82
Fe 0.361 0.639 0.639  1.92
Be 0.998 0.999 0.505  -0.08
Fe 0.643 0.357 0.357  2.11
Be 0.498 0.999 0.505  -0.08
Be 0.998 0.505 0.999  -0.08
Fe 0.274 0.226 0.226  1.97

Record 6
# PrMgN

PrMgN after structural relaxation (PBE, Alexandria).

Magnetization, μB/f.u.: 0.00
Raw formation energy, eV/atom: -0.720

Lattice parameters (Å, degrees): 4.369 4.369 8.302 74.74 74.74 60.00
Positions (direct):
N 0.285 0.285 0.144
Mg 0.805 0.805 0.585
Pr 0.386 0.386 0.841
N 0.715 0.715 0.856
Mg 0.195 0.195 0.415
Pr 0.614 0.614 0.159

Record 7
# RePtCl2

RePtCl2 after structural relaxation (PBE, Alexandria).

Magnetization, μB/f.u.: 3.23
Raw formation energy, eV/atom: 0.579

Lattice parameters (Å, degrees): 6.145 6.145 6.145 152.42 108.79 77.96
Site moments in Bohr magnetons follow the coordinates.
Positions (direct):
Cl 0.938 0.938 0.000  0.07
Cl 0.304 0.804 0.500  0.10
Re 0.740 0.240 0.500  2.26
Pt 0.518 0.518 0.000  0.30

Record 8
# RbLiTlF6

RbLiTlF6 after structural relaxation (PBE, Alexandria).

Magnetization, μB/f.u.: 1.00
Raw formation energy, eV/atom: -2.052

Lattice parameters (Å, degrees): 7.633 7.440 7.151 121.34 122.26 90.00
Site moments in Bohr magnetons follow the coordinates.
Positions (direct):
Li 0.500 0.500 0.000  0.00
Tl 0.500 0.000 0.500  -0.01
F 0.588 0.387 0.744  0.23
F 0.844 0.143 0.256  0.23
F 0.412 0.613 0.256  0.23
F 0.588 0.857 0.744  0.23
Li 0.500 0.000 0.000  0.00
F 0.156 0.387 0.744  0.23
F 0.844 0.613 0.256  0.23
Rb 0.169 0.419 0.338  0.00
Rb 0.831 0.581 0.662  0.00
F 0.156 0.857 0.744  0.23
Tl 0.000 0.000 0.500  -0.01
F 0.875 0.125 0.750  -0.01
F 0.410 0.160 0.819  0.01
F 0.590 0.840 0.181  0.01
F 0.412 0.143 0.256  0.23
F 0.125 0.875 0.250  -0.01